Arrangement 1

Density functional theory data (PBE-GGA) for an optimized crystal structure of SrMgCo3.

abc: 4.6638 4.6638 4.6638
angles: 90.00 90.00 90.00
Fractional coordinates of all 5 atoms:
Mg  0.0000  0.0000  0.0000
Co  0.0000  0.5000  0.0000
Co  0.5000  0.0000  0.0000
Co  0.0000  0.0000  0.5000
Sr  0.5000  0.5000  0.5000

Summary:
Space group: Pm-3m (221)

***

Arrangement 2

Density functional theory data (PBE-GGA) for an optimized crystal structure of SrMgCo3.

abc: 4.7629 4.7629 4.7629
angles: 90.00 90.00 90.00
Fractional coordinates of all 5 atoms:
Sr  0.0000  0.0000  0.0000
Co  0.5000  0.0000  0.0000
Co  0.0000  0.5000  0.0000
Co  0.0000  0.0000  0.5000
Mg  0.5000  0.5000  0.5000

Summary:
Space group: Pm-3m (221)

***

Tell me which of them is the most stable. Sure, it is arrangement 1.